Record 1
PmCdBiO4 after structural relaxation. Source: the Alexandria database, functional PBE.

abc: 7.0031 7.0031 7.0031
angles: 120.79 119.20 90.01
Atoms (fractional coordinates):
Pm (0.0000, 0.0000, 0.0000)
Pm (0.5000, 0.0000, 0.5000)
Cd (0.3735, 0.6235, 0.7500)
Cd (0.6265, 0.3765, 0.2500)
Bi (0.0000, 0.0000, 0.5000)
Bi (0.0000, 0.5000, 0.0000)
O (0.2268, 0.2395, 0.9873)
O (0.2418, 0.2195, 0.4777)
O (0.2418, 0.7641, 0.0223)
O (0.2477, 0.7605, 0.4873)
O (0.7523, 0.2395, 0.5127)
O (0.7582, 0.2359, 0.9777)
O (0.7582, 0.7805, 0.5223)
O (0.7732, 0.7605, 0.0127)

E_form (uncorrected)   -1.868 eV/atom

Record 2
Li2ZnGa after structural relaxation. Source: the Alexandria database, functional PBE.

abc: 2.8639 2.8639 29.2127
angles: 90.00 90.00 120.00
Atoms (fractional coordinates):
Li (0.0000, 0.0000, 0.0916)
Li (0.0000, 0.0000, 0.9084)
Li (0.3333, 0.6667, 0.5751)
Li (0.3333, 0.6667, 0.7583)
Li (0.6667, 0.3333, 0.2417)
Li (0.6667, 0.3333, 0.4249)
Zn (0.0000, 0.0000, 0.5000)
Zn (0.3333, 0.6667, 0.1667)
Zn (0.6667, 0.3333, 0.8333)
Ga (0.0000, 0.0000, 0.0000)
Ga (0.3333, 0.6667, 0.6667)
Ga (0.6667, 0.3333, 0.3333)

Energy of formation from the pure elements   -14 kJ/mol of formula units

Record 3
KNaSCl2 after structural relaxation. Source: the Alexandria database, functional PBE.

abc: 5.8871 5.8871 5.7709
angles: 90.00 90.00 90.00
Atoms (fractional coordinates):
K (0.0000, 0.0000, 0.0000)
Na (0.5000, 0.5000, 0.5000)
S (0.0000, 0.0000, 0.5000)
Cl (0.0000, 0.5000, 0.0000)
Cl (0.5000, 0.0000, 0.0000)

E_form (uncorrected)   -0.498 eV/atom
Energy relative to the lowest polymorph listed for this composition   294 meV/atom

Record 4
Sc2Tc2Ir after structural relaxation. Source: the Alexandria database, functional PBE.

abc: 6.5370 6.5370 4.2692
angles: 90.00 90.00 90.00
Atoms (fractional coordinates):
Sc (0.1794, 0.3206, 0.0000)
Sc (0.3206, 0.8206, 0.0000)
Sc (0.6794, 0.1794, 0.0000)
Sc (0.8206, 0.6794, 0.0000)
Tc (0.1258, 0.6258, 0.5000)
Tc (0.3742, 0.1258, 0.5000)
Tc (0.6258, 0.8742, 0.5000)
Tc (0.8742, 0.3742, 0.5000)
Ir (0.0000, 0.0000, 0.5000)
Ir (0.5000, 0.5000, 0.5000)

Energy of formation from the pure elements   -92 kJ/mol of formula units

Record 5
Cr2CI after structural relaxation. Source: the Alexandria database, functional PBE.

abc: 5.5441 5.5441 10.2901
angles: 90.00 90.00 90.00
Atoms (fractional coordinates):
Cr (0.1161, 0.2500, 0.1250)
Cr (0.2500, 0.6161, 0.3750)
Cr (0.2500, 0.8839, 0.8750)
Cr (0.3839, 0.2500, 0.6250)
Cr (0.6161, 0.7500, 0.6250)
Cr (0.7500, 0.1161, 0.8750)
Cr (0.7500, 0.3839, 0.3750)
Cr (0.8839, 0.7500, 0.1250)
C (0.0000, 0.0000, 0.0000)
C (0.0000, 0.5000, 0.2500)
C (0.5000, 0.0000, 0.7500)
C (0.5000, 0.5000, 0.5000)
I (0.0000, 0.0000, 0.5000)
I (0.0000, 0.5000, 0.7500)
I (0.5000, 0.0000, 0.2500)
I (0.5000, 0.5000, 0.0000)

E_form (uncorrected)   0.575 eV/atom
Energy relative to the lowest polymorph listed for this composition   0 meV/atom

Record 6
GdAl2Ge after structural relaxation. Source: the Alexandria database, functional PBE.

abc: 3.9177 3.9177 25.7356
angles: 90.00 90.00 120.00
Atoms (fractional coordinates):
Gd (0.0000, 0.0000, 0.0000)
Gd (0.3333, 0.6667, 0.6667)
Gd (0.6667, 0.3333, 0.3333)
Al (0.0000, 0.0000, 0.1198)
Al (0.0000, 0.0000, 0.8802)
Al (0.3333, 0.6667, 0.5468)
Al (0.3333, 0.6667, 0.7865)
Al (0.6667, 0.3333, 0.2135)
Al (0.6667, 0.3333, 0.4532)
Ge (0.0000, 0.0000, 0.5000)
Ge (0.3333, 0.6667, 0.1667)
Ge (0.6667, 0.3333, 0.8333)

Energy of formation from the pure elements   154 kJ/mol of formula units
Energy relative to the lowest polymorph listed for this composition   831 meV/atom

Record 7
MgAg6Au12 after structural relaxation. Source: the Alexandria database, functional PBE.

abc: 7.3196 7.3196 7.3196
angles: 102.44 102.44 102.44
Atoms (fractional coordinates):
Mg (0.0000, 0.0000, 0.0000)
Ag (0.1585, 0.1887, 0.4268)
Ag (0.1887, 0.4268, 0.1585)
Ag (0.4268, 0.1585, 0.1887)
Ag (0.5732, 0.8415, 0.8113)
Ag (0.8113, 0.5732, 0.8415)
Ag (0.8415, 0.8113, 0.5732)
Au (0.0203, 0.7587, 0.2545)
Au (0.1882, 0.6141, 0.5655)
Au (0.2413, 0.7455, 0.9797)
Au (0.2545, 0.0203, 0.7587)
Au (0.3859, 0.4345, 0.8118)
Au (0.4345, 0.8118, 0.3859)
Au (0.5655, 0.1882, 0.6141)
Au (0.6141, 0.5655, 0.1882)
Au (0.7455, 0.9797, 0.2413)
Au (0.7587, 0.2545, 0.0203)
Au (0.8118, 0.3859, 0.4345)
Au (0.9797, 0.2413, 0.7455)

Energy of formation from the pure elements   -41 kJ/mol of formula units

Record 8
Zn2OsRh after structural relaxation. Source: the Alexandria database, functional PBE.

abc: 2.7227 3.8129 5.4501
angles: 90.00 90.10 90.00
Atoms (fractional coordinates):
Zn (0.0000, 0.0000, 0.0000)
Zn (0.4991, 0.5000, 0.2461)
Os (0.4988, 0.5000, 0.7427)
Rh (0.9991, 0.0000, 0.5027)

Energy of formation from the pure elements   19 kJ/mol of formula units
Energy relative to the lowest polymorph listed for this composition   60 meV/atom

| no. | uncorrected energy (eV per atom) | N(E_F) (states/eV per cell) |
| --- | --- | --- |
| 1 | -6.06 | 0.0 |
| 2 | -2.07 | 5.0 |
| 3 | -2.55 | 5.3 |
| 4 | -8.64 | 11.5 |
| 5 | -6.93 | 3.3 |
| 6 | -6.15 | 16.1 |
| 7 | -3.08 | 6.3 |
| 8 | -5.23 | 3.2 |